# Li5Nb2Co5O12

A relaxed Li5Nb2Co5O12 crystal (GGA+U, Alexandria). Values from VASP.

Quantum ESPRESSO input file:
```
&SYSTEM
  ibrav = 0, nat = 24, ntyp = 4
/
ATOMIC_SPECIES
Li 6.94 Li.upf
O 16.00 O.upf
Co 58.93 Co.upf
Nb 92.91 Nb.upf
CELL_PARAMETERS angstrom
5.2750 -0.0108 0.0048
-2.7586 4.4962 0.0048
0.9983 1.7795 9.8731
ATOMIC_POSITIONS angstrom
Li -1.6241 5.0295 4.9414
Li 2.7027 3.5033 2.5186
Li 1.9336 2.1324 7.3641
Li 2.0300 5.0297 7.3664
Li 0.2803 1.9110 2.5163
O 0.2116 5.0752 6.1254
O 0.1483 2.0845 6.1058
O -0.7063 3.4391 3.7574
O 3.9042 2.0559 8.6809
O 2.8886 3.4523 6.1174
O 3.8817 5.1555 8.6601
O 0.9370 3.4080 1.2084
O 2.0740 2.0003 3.7653
O 3.7950 1.8614 1.2018
O 1.8130 5.0519 3.7769
O 1.0946 3.6890 8.6743
O 1.1380 0.2651 1.2226
Co 1.9826 1.8363 0.0048
Co 4.6092 3.5876 7.3989
Co 1.0943 3.5045 4.9414
Co 4.6516 0.3389 0.0048
Co 2.8553 0.4614 2.4839
Nb 3.7314 2.0250 4.9414
Nb -0.7301 3.3582 0.0048
```

Output
E_tot = -6.538 eV per atom